Entry 1:
# DyHo5Er5

Crystalline DyHo5Er5 at its relaxed geometry (PBE, Alexandria).

POSCAR file:
```
DyHo5Er5
1.0
5.844 0.000 0.000
-2.922 9.317 0.359
0.000 -2.728 6.292
Ho Er Dy
5 5 1
Direct
0.179 0.357 0.425
0.179 0.357 0.933
0.500 0.000 0.000
0.821 0.643 0.067
0.821 0.643 0.575
0.331 0.662 0.829
0.669 0.338 0.171
0.376 0.752 0.374
0.000 0.000 0.500
0.624 0.248 0.626
0.000 0.000 0.000
```

Computed properties:
As for the spin magnetization: 0.8 μB/f.u. The calculated formation energy comes out at 3.18 eV per formula unit. The value obtained for the density of states at the Fermi level is 17.73 states/eV/cell. The value obtained for the density is 8.7 g/cm3.


Entry 2:
# DyHoEr2

Crystalline DyHoEr2 at its relaxed geometry (PBE, Alexandria).

POSCAR file:
```
DyHoEr2
1.0
-1.601 -3.037 0.742
1.230 -2.052 2.572
-6.859 3.691 8.622
Er Dy Ho
2 1 1
Direct
0.250 0.250 0.250
0.750 0.750 0.750
0.500 0.500 0.500
0.000 0.000 0.000
```

Computed properties:
As for the spin magnetization: 0.0 μB/f.u. The calculated formation energy comes out at 0.09 eV per formula unit. The value obtained for the density of states at the Fermi level is 5.71 states/eV/cell. The value obtained for the density is 9.0 g/cm3.


Entry 3:
# DyHo3Er5

Crystalline DyHo3Er5 at its relaxed geometry (PBE, Alexandria).

POSCAR file:
```
DyHo3Er5
1.0
-4.080 1.854 8.236
-9.191 0.697 -1.721
-8.426 -5.878 5.008
Ho Er Dy
6 10 2
Direct
0.000 0.000 0.000
0.695 0.695 0.814
0.342 0.342 0.637
0.000 0.000 0.500
0.658 0.658 0.363
0.305 0.305 0.186
0.150 0.652 0.749
0.348 0.850 0.251
0.490 0.490 0.231
0.510 0.510 0.769
0.850 0.348 0.251
0.740 0.260 0.000
0.652 0.150 0.749
0.260 0.740 0.000
0.815 0.815 0.963
0.185 0.185 0.037
0.851 0.851 0.400
0.149 0.149 0.600
```

Computed properties:
As for the spin magnetization: 0.0 μB/f.u. The calculated formation energy comes out at 4.79 eV per formula unit. The value obtained for the density of states at the Fermi level is 23.80 states/eV/cell. The value obtained for the density is 7.8 g/cm3.


Entry 4:
# Dy2Ho7Er

Crystalline Dy2Ho7Er at its relaxed geometry (PBE, Alexandria).

POSCAR file:
```
Dy2Ho7Er
1.0
5.124 0.000 0.000
0.000 9.544 -0.813
0.000 -5.031 8.151
Ho Dy Er
7 2 1
Direct
0.500 0.072 0.287
0.000 0.804 0.196
0.000 0.196 0.804
0.500 0.287 0.072
0.500 0.500 0.500
0.500 0.713 0.928
0.500 0.928 0.713
0.500 0.298 0.702
0.500 0.702 0.298
0.000 0.000 0.000
```

Computed properties:
As for the spin magnetization: 0.0 μB/f.u. The calculated formation energy comes out at 7.01 eV per formula unit. The value obtained for the density of states at the Fermi level is 11.45 states/eV/cell. The value obtained for the density is 7.2 g/cm3.


Entry 5:
# Dy12Ho6Er

Crystalline Dy12Ho6Er at its relaxed geometry (PBE, Alexandria).

POSCAR file:
```
Dy12Ho6Er
1.0
8.980 -1.218 -2.063
-2.300 8.766 -2.063
-1.078 -1.218 9.151
Dy Ho Er
12 6 1
Direct
0.360 0.146 0.360
0.360 0.360 0.146
0.500 0.890 0.110
0.890 0.110 0.500
0.890 0.500 0.110
0.640 0.640 0.854
0.110 0.890 0.500
0.640 0.854 0.640
0.500 0.110 0.890
0.110 0.500 0.890
0.854 0.640 0.640
0.146 0.360 0.360
0.320 0.741 0.320
0.741 0.320 0.320
0.320 0.320 0.741
0.259 0.680 0.680
0.680 0.680 0.259
0.680 0.259 0.680
0.000 0.000 0.000
```

Computed properties:
As for the spin magnetization: 0.0 μB/f.u. The calculated formation energy comes out at 8.58 eV per formula unit. The value obtained for the density of states at the Fermi level is 23.96 states/eV/cell. The value obtained for the density is 8.0 g/cm3.


Entry 6:
# Dy6HoEr

Crystalline Dy6HoEr at its relaxed geometry (PBE, Alexandria).

POSCAR file:
```
Dy6HoEr
1.0
4.990 0.000 0.000
0.000 4.990 0.000
0.000 0.000 9.978
Dy Er Ho
6 1 1
Direct
0.500 0.000 0.750
0.500 0.500 0.500
0.500 0.500 0.000
0.000 0.500 0.750
0.500 0.000 0.250
0.000 0.500 0.250
0.000 0.000 0.000
0.000 0.000 0.500
```

Computed properties:
As for the spin magnetization: 0.0 μB/f.u. The calculated formation energy comes out at 0.17 eV per formula unit. The value obtained for the density of states at the Fermi level is 11.83 states/eV/cell. The value obtained for the density is 8.7 g/cm3.